Computed, not measured: crystalline Rb2BeSbS4 at its relaxed geometry at the PBE level of DFT.

Energy ... -4.04 eV per atom
Volume ... 31.3 Å³/atom
Raw formation energy ... -756 meV/atom
Magnetization ... 0.904 μB/f.u.

a b c (Å): 13.626 12.004 7.737
angles (deg): 84.35 61.25 34.41
Fractional coordinates of all 16 atoms:
Rb (0.053, 0.053, 0.697)
Rb (0.303, 0.303, 0.947)
Rb (0.697, 0.697, 0.053)
Rb (0.947, 0.947, 0.303)
Be (0.125, 0.125, 0.125)
Be (0.875, 0.875, 0.875)
Sb (0.375, 0.375, 0.375)
Sb (0.625, 0.625, 0.625)
S (0.059, 0.291, 0.374)
S (0.224, 0.626, 0.709)
S (0.291, 0.059, 0.776)
S (0.374, 0.776, 0.059)
S (0.626, 0.224, 0.941)
S (0.709, 0.941, 0.224)
S (0.776, 0.374, 0.291)
S (0.941, 0.709, 0.626)

Computed, not measured: crystalline Tl2FeAs at its relaxed geometry at the PBE level of DFT.

Offset from the most stable computed form ... 0.430 eV/atom
Energy ... -3.87 eV per atom
Volume ... 22.4 Å³/atom
Formation energy ... 56.7 kJ per mole of atoms
Magnetization ... 3.180 μB/f.u.

a b c (Å): 5.468 5.468 5.468
angles (deg): 131.54 131.54 70.96
Fractional coordinates of all 4 atoms:
Tl (0.000, 0.000, 0.000)
Tl (0.750, 0.250, 0.500)
Fe (0.500, 0.500, 0.000)
As (0.250, 0.750, 0.500)

Computed, not measured: crystalline TlBr3Cl at its relaxed geometry at the PBE level of DFT.

Offset from the most stable computed form ... 0.054 eV/atom
Energy ... -2.17 eV per atom
Volume ... 42.8 Å³/atom
Raw formation energy ... -326 meV/atom
Magnetization ... 0.000 μB/f.u.

a b c (Å): 11.701 11.701 7.193
angles (deg): 96.38 96.38 117.22
Fractional coordinates of all 20 atoms:
Tl (0.169, 0.831, 0.250)
Tl (0.169, 0.831, 0.750)
Tl (0.831, 0.169, 0.250)
Tl (0.831, 0.169, 0.750)
Br (0.021, 0.343, 0.561)
Br (0.024, 0.181, 0.034)
Br (0.181, 0.024, 0.534)
Br (0.184, 0.653, 0.973)
Br (0.343, 0.021, 0.061)
Br (0.347, 0.816, 0.527)
Br (0.653, 0.184, 0.473)
Br (0.657, 0.979, 0.939)
Br (0.816, 0.347, 0.027)
Br (0.819, 0.976, 0.466)
Br (0.976, 0.819, 0.966)
Br (0.979, 0.657, 0.439)
Cl (0.403, 0.444, 0.477)
Cl (0.444, 0.403, 0.977)
Cl (0.556, 0.597, 0.023)
Cl (0.597, 0.556, 0.523)

Computed, not measured: crystalline NdU2Tc2 at its relaxed geometry at the PBE level of DFT.

Energy ... -9.54 eV per atom
Volume ... 22.0 Å³/atom
Formation energy ... 7.6 kJ per mole of atoms
Magnetization ... 0.000 μB/f.u.

a b c (Å): 7.947 7.947 5.918
angles (deg): 90.00 90.00 143.97
Fractional coordinates of all 10 atoms:
Nd (0.066, 0.934, 0.750)
Nd (0.934, 0.066, 0.250)
U (0.291, 0.709, 0.019)
U (0.291, 0.709, 0.481)
U (0.709, 0.291, 0.519)
U (0.709, 0.291, 0.981)
Tc (0.143, 0.857, 0.250)
Tc (0.422, 0.578, 0.750)
Tc (0.578, 0.422, 0.250)
Tc (0.857, 0.143, 0.750)

Computed, not measured: crystalline TiCr2Ru at its relaxed geometry at the PBE level of DFT.

Offset from the most stable computed form ... 0.000 eV/atom
Energy ... -9.14 eV per atom
Volume ... 13.2 Å³/atom
Formation energy ... -3.6 kJ per mole of atoms
Magnetization ... 0.000 μB/f.u.

a b c (Å): 4.209 4.209 4.209
angles (deg): 60.00 60.00 60.00
Fractional coordinates of all 4 atoms:
Ti (0.000, 0.000, 0.000)
Cr (0.250, 0.250, 0.250)
Cr (0.750, 0.750, 0.750)
Ru (0.500, 0.500, 0.500)

Computed, not measured: crystalline BiPd3Pb5 at its relaxed geometry at the PBE level of DFT.

Energy ... -4.31 eV per atom
Volume ... 28.4 Å³/atom
Formation energy ... -8.3 kJ per mole of atoms
Magnetization ... 0.000 μB/f.u.

a b c (Å): 7.661 7.661 10.382
angles (deg): 113.32 113.32 76.79
Fractional coordinates of all 18 atoms:
Bi (0.104, 0.104, 0.309)
Bi (0.896, 0.896, 0.691)
Pd (0.000, 0.000, 0.000)
Pd (0.000, 0.000, 0.500)
Pd (0.315, 0.315, 0.833)
Pd (0.359, 0.359, 0.366)
Pd (0.641, 0.641, 0.634)
Pd (0.685, 0.685, 0.167)
Pb (0.081, 0.646, 0.303)
Pb (0.247, 0.247, 0.047)
Pb (0.291, 0.709, 0.000)
Pb (0.354, 0.919, 0.697)
Pb (0.415, 0.415, 0.653)
Pb (0.585, 0.585, 0.347)
Pb (0.646, 0.081, 0.303)
Pb (0.709, 0.291, 0.000)
Pb (0.753, 0.753, 0.953)
Pb (0.919, 0.354, 0.697)

Computed, not measured: crystalline LaSn2Pt at its relaxed geometry at the PBE level of DFT.

Energy ... -5.24 eV per atom
Volume ... 27.2 Å³/atom
Formation energy ... -47.8 kJ per mole of atoms
Magnetization ... 0.000 μB/f.u.

a b c (Å): 10.843 10.843 10.843
angles (deg): 155.59 155.59 34.79
Fractional coordinates of all 8 atoms:
La (0.000, 0.000, 0.000)
La (0.750, 0.250, 0.500)
Sn (0.189, 0.625, 0.064)
Sn (0.375, 0.439, 0.564)
Sn (0.561, 0.125, 0.936)
Sn (0.875, 0.811, 0.436)
Pt (0.250, 0.750, 0.500)
Pt (0.500, 0.500, 0.000)

Computed, not measured: crystalline Ti2Be2AlRu5 at its relaxed geometry at the PBE level of DFT.

Energy ... -7.76 eV per atom
Volume ... 13.2 Å³/atom
Formation energy ... -40.8 kJ per mole of atoms
Magnetization ... 0.000 μB/f.u.

a b c (Å): 9.196 9.196 3.116
angles (deg): 90.00 90.00 90.00
Fractional coordinates of all 20 atoms:
Ti (0.172, 0.328, 0.000)
Ti (0.328, 0.828, 0.000)
Ti (0.672, 0.172, 0.000)
Ti (0.828, 0.672, 0.000)
Be (0.127, 0.627, 0.000)
Be (0.373, 0.127, 0.000)
Be (0.627, 0.873, 0.000)
Be (0.873, 0.373, 0.000)
Al (0.000, 0.000, 0.000)
Al (0.500, 0.500, 0.000)
Ru (0.000, 0.500, 0.500)
Ru (0.074, 0.795, 0.500)
Ru (0.205, 0.074, 0.500)
Ru (0.295, 0.574, 0.500)
Ru (0.426, 0.295, 0.500)
Ru (0.500, 0.000, 0.500)
Ru (0.574, 0.705, 0.500)
Ru (0.705, 0.426, 0.500)
Ru (0.795, 0.926, 0.500)
Ru (0.926, 0.205, 0.500)

Computed, not measured: crystalline MgTiSn2 at its relaxed geometry at the PBE level of DFT.

Energy ... -4.20 eV per atom
Volume ... 23.5 Å³/atom
Formation energy ... 16.4 kJ per mole of atoms
Magnetization ... 0.000 μB/f.u.

a b c (Å): 6.323 6.323 6.323
angles (deg): 103.86 103.86 121.40
Fractional coordinates of all 8 atoms:
Mg (0.000, 0.000, 0.000)
Mg (0.750, 0.250, 0.500)
Ti (0.250, 0.750, 0.500)
Ti (0.500, 0.500, 0.000)
Sn (0.132, 0.125, 0.507)
Sn (0.375, 0.868, 0.993)
Sn (0.618, 0.625, 0.493)
Sn (0.875, 0.382, 0.007)

Computed, not measured: crystalline BaCa2Au6 at its relaxed geometry at the PBE level of DFT.

Energy ... -3.50 eV per atom
Volume ... 25.4 Å³/atom
Formation energy ... -63.4 kJ per mole of atoms
Magnetization ... 0.000 μB/f.u.

a b c (Å): 8.514 8.514 8.514
angles (deg): 153.43 123.41 63.58
Fractional coordinates of all 9 atoms:
Ba (0.000, 0.000, 0.000)
Ca (0.359, 0.859, 0.500)
Ca (0.641, 0.141, 0.500)
Au (0.015, 0.320, 0.695)
Au (0.328, 0.500, 0.828)
Au (0.374, 0.680, 0.695)
Au (0.626, 0.320, 0.305)
Au (0.672, 0.500, 0.172)
Au (0.985, 0.680, 0.305)